1.
Computed, not measured: crystalline PH3W at its relaxed geometry at the PBEsol level of DFT.

CIF file:
```
data_PH3W
_chemical_formula_sum 'P1 H3 W1'
_cell_length_a 3.4872
_cell_length_b 3.4872
_cell_length_c 3.4872
_cell_angle_alpha 90.00
_cell_angle_beta 90.00
_cell_angle_gamma 90.00
_symmetry_space_group_name_H-M 'P m -3 m'
_symmetry_Int_Tables_number 221
_symmetry_space_group_name_Hall '-P 4 2 3'
loop_
_atom_site_label
_atom_site_type_symbol
_atom_site_fract_x
_atom_site_fract_y
_atom_site_fract_z
_atom_site_occupancy
P1 P 0.0000 0.0000 0.0000 1
H1 H 0.0000 0.5000 0.5000 1
W1 W 0.5000 0.5000 0.5000 1
```

Computed properties:
DFT total energy, eV per atom: -5.2073


2.
Computed, not measured: crystalline HfCo2BiOs at its relaxed geometry at the PBEsol level of DFT.

CIF file:
```
data_HfCo2BiOs
_chemical_formula_sum 'Hf1 Co2 Bi1 Os1'
_cell_length_a 4.4251
_cell_length_b 4.4251
_cell_length_c 5.1031
_cell_angle_alpha 90.00
_cell_angle_beta 90.00
_cell_angle_gamma 90.00
_symmetry_space_group_name_H-M 'P 4/m m m'
_symmetry_Int_Tables_number 123
_symmetry_space_group_name_Hall '-P 4 2'
loop_
_atom_site_label
_atom_site_type_symbol
_atom_site_fract_x
_atom_site_fract_y
_atom_site_fract_z
_atom_site_occupancy
Hf1 Hf 0.0000 0.0000 0.0000 1
Co1 Co 0.0000 0.5000 0.5000 1
Bi1 Bi 0.5000 0.5000 0.0000 1
Os1 Os 0.5000 0.5000 0.5000 1
```

Computed properties:
ΔH_f (0 K), eV/atom: 1.29


3.
Computed, not measured: crystalline PbW3 at its relaxed geometry at the PBEsol level of DFT.

CIF file:
```
data_PbW3
_chemical_formula_sum 'Pb1 W3'
_cell_length_a 3.1006
_cell_length_b 3.1006
_cell_length_c 7.5700
_cell_angle_alpha 90.00
_cell_angle_beta 90.00
_cell_angle_gamma 90.00
_symmetry_space_group_name_H-M 'P 4/m m m'
_symmetry_Int_Tables_number 123
_symmetry_space_group_name_Hall '-P 4 2'
loop_
_atom_site_label
_atom_site_type_symbol
_atom_site_fract_x
_atom_site_fract_y
_atom_site_fract_z
_atom_site_occupancy
Pb1 Pb 0.0000 0.0000 0.0000 1
W1 W 0.0000 0.0000 0.5000 1
W2 W 0.5000 0.5000 0.2948 1
```

Computed properties:
ΔH_f (0 K), eV/atom: 0.74
E above lowest polymorph, meV/atom: 0


4.
Computed, not measured: crystalline SiHW2N at its relaxed geometry at the PBEsol level of DFT.

CIF file:
```
data_SiHW2N
_chemical_formula_sum 'Si1 H1 W2 N1'
_cell_length_a 4.1948
_cell_length_b 4.1948
_cell_length_c 2.9833
_cell_angle_alpha 90.00
_cell_angle_beta 90.00
_cell_angle_gamma 90.00
_symmetry_space_group_name_H-M 'P 4/m m m'
_symmetry_Int_Tables_number 123
_symmetry_space_group_name_Hall '-P 4 2'
loop_
_atom_site_label
_atom_site_type_symbol
_atom_site_fract_x
_atom_site_fract_y
_atom_site_fract_z
_atom_site_occupancy
Si1 Si 0.0000 0.0000 0.0000 1
H1 H 0.5000 0.5000 0.5000 1
W1 W 0.0000 0.5000 0.5000 1
N1 N 0.5000 0.5000 0.0000 1
```

Computed properties:
DFT total energy, eV per atom: -8.2902


5.
Computed, not measured: crystalline CrRh5 at its relaxed geometry at the PBEsol level of DFT.

CIF file:
```
data_CrRh5
_chemical_formula_sum 'Cr1 Rh5'
_cell_length_a 4.6228
_cell_length_b 4.6228
_cell_length_c 4.2331
_cell_angle_alpha 90.00
_cell_angle_beta 90.00
_cell_angle_gamma 120.00
_symmetry_space_group_name_H-M 'P -6 2 m'
_symmetry_Int_Tables_number 189
_symmetry_space_group_name_Hall 'P -6 -2'
loop_
_atom_site_label
_atom_site_type_symbol
_atom_site_fract_x
_atom_site_fract_y
_atom_site_fract_z
_atom_site_occupancy
Cr1 Cr 0.0000 0.0000 0.0000 1
Rh1 Rh 0.0000 0.3288 0.5000 1
Rh2 Rh 0.3333 0.6667 0.0000 1
```

Computed properties:
ΔH_f (0 K), eV/atom: -0.07


6.
Computed, not measured: crystalline AlIOF2 at its relaxed geometry at the PBEsol level of DFT.

CIF file:
```
data_AlIOF2
_chemical_formula_sum 'Al1 I1 O1 F2'
_cell_length_a 4.8465
_cell_length_b 4.8465
_cell_length_c 4.0282
_cell_angle_alpha 90.00
_cell_angle_beta 90.00
_cell_angle_gamma 90.00
_symmetry_space_group_name_H-M 'P 4/m m m'
_symmetry_Int_Tables_number 123
_symmetry_space_group_name_Hall '-P 4 2'
loop_
_atom_site_label
_atom_site_type_symbol
_atom_site_fract_x
_atom_site_fract_y
_atom_site_fract_z
_atom_site_occupancy
Al1 Al 0.0000 0.0000 0.0000 1
I1 I 0.5000 0.5000 0.5000 1
O1 O 0.5000 0.5000 0.0000 1
F1 F 0.0000 0.5000 0.5000 1
```

Computed properties:
ΔE_f (raw), eV/atom: -0.505


7.
Computed, not measured: crystalline NaCa2ScI at its relaxed geometry at the PBEsol level of DFT.

CIF file:
```
data_NaCa2ScI
_chemical_formula_sum 'Na1 Ca2 Sc1 I1'
_cell_length_a 6.3280
_cell_length_b 6.3280
_cell_length_c 5.4764
_cell_angle_alpha 90.00
_cell_angle_beta 90.00
_cell_angle_gamma 90.00
_symmetry_space_group_name_H-M 'P 4/m m m'
_symmetry_Int_Tables_number 123
_symmetry_space_group_name_Hall '-P 4 2'
loop_
_atom_site_label
_atom_site_type_symbol
_atom_site_fract_x
_atom_site_fract_y
_atom_site_fract_z
_atom_site_occupancy
Na1 Na 0.0000 0.0000 0.0000 1
Ca1 Ca 0.0000 0.5000 0.5000 1
Sc1 Sc 0.5000 0.5000 0.5000 1
I1 I 0.5000 0.5000 0.0000 1
```

Computed properties:
ΔE_f (raw), eV/atom: 0.247


8.
Computed, not measured: crystalline Y2InRhI at its relaxed geometry at the PBEsol level of DFT.

CIF file:
```
data_Y2InRhI
_chemical_formula_sum 'Y2 In1 Rh1 I1'
_cell_length_a 5.3035
_cell_length_b 5.3035
_cell_length_c 5.0722
_cell_angle_alpha 90.00
_cell_angle_beta 90.00
_cell_angle_gamma 90.00
_symmetry_space_group_name_H-M 'P 4/m m m'
_symmetry_Int_Tables_number 123
_symmetry_space_group_name_Hall '-P 4 2'
loop_
_atom_site_label
_atom_site_type_symbol
_atom_site_fract_x
_atom_site_fract_y
_atom_site_fract_z
_atom_site_occupancy
Y1 Y 0.0000 0.5000 0.0000 1
In1 In 0.0000 0.0000 0.5000 1
Rh1 Rh 0.0000 0.0000 0.0000 1
I1 I 0.5000 0.5000 0.5000 1
```

Computed properties:
ΔE_f (raw), eV/atom: -0.501


9.
Computed, not measured: crystalline AgPW2 at its relaxed geometry at the PBEsol level of DFT.

CIF file:
```
data_AgPW2
_chemical_formula_sum 'Ag2 P2 W4'
_cell_length_a 4.4114
_cell_length_b 4.4114
_cell_length_c 5.9840
_cell_angle_alpha 90.00
_cell_angle_beta 90.00
_cell_angle_gamma 90.00
_symmetry_space_group_name_H-M 'I 4/m m m'
_symmetry_Int_Tables_number 139
_symmetry_space_group_name_Hall '-I 4 2'
loop_
_atom_site_label
_atom_site_type_symbol
_atom_site_fract_x
_atom_site_fract_y
_atom_site_fract_z
_atom_site_occupancy
Ag1 Ag 0.0000 0.0000 0.0000 1
P1 P 0.0000 0.0000 0.5000 1
W1 W 0.0000 0.5000 0.2500 1
```

Computed properties:
ΔH_f (0 K), eV/atom: 0.57
E above lowest polymorph, meV/atom: 342


10.
Computed, not measured: crystalline FeTeIr2 at its relaxed geometry at the PBEsol level of DFT.

CIF file:
```
data_FeTeIr2
_chemical_formula_sum 'Fe2 Te2 Ir4'
_cell_length_a 8.8640
_cell_length_b 2.9425
_cell_length_c 4.7523
_cell_angle_alpha 90.00
_cell_angle_beta 99.85
_cell_angle_gamma 90.00
_symmetry_space_group_name_H-M 'C 1 2/m 1'
_symmetry_Int_Tables_number 12
loop_
_symmetry_equiv_pos_as_xyz
'x,y,z'
'-x,-y,-z'
'-x,y,-z'
'x,-y,z'
'x+1/2,y+1/2,z'
'-x+1/2,-y+1/2,-z'
'-x+1/2,y+1/2,-z'
'x+1/2,-y+1/2,z'
loop_
_atom_site_label
_atom_site_type_symbol
_atom_site_fract_x
_atom_site_fract_y
_atom_site_fract_z
_atom_site_occupancy
Fe1 Fe 0.0000 0.0000 0.0000 1
Te1 Te 0.0000 0.5000 0.5000 1
Ir1 Ir 0.2429 0.5000 0.2316 1
```

Computed properties:
ΔE_f (raw), eV/atom: 0.332


11.
Computed, not measured: crystalline TaSi2 at its relaxed geometry at the PBEsol level of DFT.

CIF file:
```
data_TaSi2
_chemical_formula_sum 'Ta4 Si8'
_cell_length_a 2.6353
_cell_length_b 4.1362
_cell_length_c 17.4883
_cell_angle_alpha 90.00
_cell_angle_beta 90.00
_cell_angle_gamma 90.00
_symmetry_space_group_name_H-M 'I m m a'
_symmetry_Int_Tables_number 74
_symmetry_space_group_name_Hall '-I 2b 2'
loop_
_atom_site_label
_atom_site_type_symbol
_atom_site_fract_x
_atom_site_fract_y
_atom_site_fract_z
_atom_site_occupancy
Ta1 Ta 0.0000 0.2500 0.1054 1
Si1 Si 0.0000 0.2500 0.5381 1
Si2 Si 0.0000 0.2500 0.6858 1
```

Computed properties:
ΔE_f (raw), eV/atom: 0.009


12.
Computed, not measured: crystalline ScBiSe2N at its relaxed geometry at the PBEsol level of DFT.

CIF file:
```
data_ScBiSe2N
_chemical_formula_sum 'Sc1 Bi1 Se2 N1'
_cell_length_a 5.2199
_cell_length_b 5.2199
_cell_length_c 3.9885
_cell_angle_alpha 90.00
_cell_angle_beta 90.00
_cell_angle_gamma 90.00
_symmetry_space_group_name_H-M 'P 4/m m m'
_symmetry_Int_Tables_number 123
_symmetry_space_group_name_Hall '-P 4 2'
loop_
_atom_site_label
_atom_site_type_symbol
_atom_site_fract_x
_atom_site_fract_y
_atom_site_fract_z
_atom_site_occupancy
Sc1 Sc 0.0000 0.0000 0.0000 1
Bi1 Bi 0.5000 0.5000 0.5000 1
Se1 Se 0.0000 0.5000 0.0000 1
N1 N 0.0000 0.0000 0.5000 1
```

Computed properties:
ΔE_f (raw), eV/atom: -0.181